LiCuCl2 after structural relaxation. Source: Alexandria, functional PBE-GGA.

**Final energy**: -3.37 eV/atom
**ΔE_f (raw)**: -943 meV/atom
**Mass density**: 3.3 g cm⁻³
**Magnetic moment**: 0.0 μB per formula unit

Cell: 3.604 3.604 6.569 Å, 74.08 74.08 60.00°
Element x y z (fractional)
Cl: 0.254 0.254 0.237
Cl: 0.080 0.080 0.761
Cu: 0.666 0.666 0.001
Li: 0.500 0.500 0.501